LiPr2Pb5 after structural relaxation, computed with PBE.

Computed properties:
Its raw total energy is -66.82 eV for the cell shown. Its total magnetization is 0.000 μB/atom. The value obtained for the formation energy is -0.424 eV per atom.

```
data_LiPr2Pb5
_symmetry_space_group_name_H-M 'P b a m'
_symmetry_Int_Tables_number 55
_cell_length_a 6.907
_cell_length_b 13.623
_cell_length_c 4.883
_cell_angle_alpha 90.00
_cell_angle_beta 90.00
_cell_angle_gamma 90.00
loop_
_symmetry_equiv_pos_as_xyz
'x,y,z'
'-x,-y,-z'
'-x,-y,z'
'x,y,-z'
'x+1/2,-y+1/2,-z'
'-x+1/2,y+1/2,z'
'-x+1/2,y+1/2,-z'
'x+1/2,-y+1/2,z'
loop_
_atom_site_label
_atom_site_type_symbol
_atom_site_fract_x
_atom_site_fract_y
_atom_site_fract_z
Li1 Li 0.000 0.000 0.000
Pr1 Pr 0.218 0.366 0.500
Pb1 Pb 0.000 0.500 0.000
Pb2 Pb 0.022 0.758 0.000
Pb3 Pb 0.217 0.113 0.500
```